Entry 1:
## CaHg2GeN (GGA-PBE)

Data for a relaxed structure of CaHg2GeN.

Geometry as POSCAR:
```
CaHg2GeN
1.0
5.783 0.000 0.000
0.000 5.733 0.000
0.000 0.000 5.783
Ge Ca Hg N
1 1 2 1
Cartesian
0.000 2.867 0.000 Ge
0.000 0.000 0.000 Ca
0.000 0.000 2.891 Hg
2.891 0.000 0.000 Hg
2.891 2.867 2.891 N
```

The final energy comes out at -1.41 eV per atom. For the volume, the calculation gives 38.34 A^3/atom.

Entry 2:
## CaHgGe2O6 (GGA-PBE)

Data for a relaxed structure of CaHgGe2O6.

Geometry as POSCAR:
```
CaHgGe2O6
1.0
-3.427 -2.383 3.917
-2.724 -5.909 -3.477
4.472 -4.640 3.591
Ca Hg Ge O
2 2 4 12
Cartesian
-2.850 -6.375 -1.779 Ca
1.170 -6.556 5.810 Ca
1.597 -5.591 2.588 Hg
-3.276 -7.340 1.443 Hg
-0.256 -8.138 0.575 Ge
-0.838 -3.801 0.390 Ge
-1.424 -4.794 3.456 Ge
-0.841 -9.130 3.641 Ge
0.440 -9.686 0.183 O
-1.497 -2.246 0.818 O
-2.119 -3.245 3.848 O
-0.183 -10.685 3.213 O
-1.867 -7.769 -0.081 O
-1.422 -4.557 -1.111 O
0.188 -5.162 4.112 O
-0.258 -8.375 5.142 O
0.791 -6.827 -0.094 O
-1.263 -5.002 1.670 O
-2.471 -6.105 4.125 O
-0.417 -7.929 2.361 O
```

The final energy comes out at -5.86 eV per atom. For the volume, the calculation gives 14.74 A^3/atom.

Entry 3:
## Ca2HgGeP (GGA-PBE)

Data for a relaxed structure of Ca2HgGeP.

Geometry as POSCAR:
```
Ca2HgGeP
1.0
5.746 0.000 0.000
0.000 4.880 0.000
0.000 0.000 5.746
P Ge Ca Hg
1 1 2 1
Cartesian
0.000 2.440 0.000 P
2.873 2.440 2.873 Ge
0.000 0.000 2.873 Ca
2.873 0.000 0.000 Ca
0.000 0.000 0.000 Hg
```

The final energy comes out at -2.57 eV per atom. For the volume, the calculation gives 32.23 A^3/atom. The calculation puts the formation energy at 0.296 eV per atom.

Entry 4:
## Ca2Hg2GePd4 (GGA-PBE)

Data for a relaxed structure of Ca2Hg2GePd4.

Geometry as POSCAR:
```
Ca2Hg2GePd4
1.0
-2.981 -3.340 -4.897
2.169 -2.801 5.610
-3.169 4.069 4.174
Ca Hg Ge Pd
2 2 1 4
Cartesian
-0.712 0.903 6.968 Ca
-0.288 0.365 2.816 Ca
-0.656 -2.753 2.803 Hg
-3.325 0.682 2.085 Hg
0.000 0.000 0.000 Ge
0.719 -0.935 5.220 Pd
-2.090 -0.602 4.890 Pd
-1.719 2.203 4.564 Pd
-1.891 -1.470 -0.003 Pd
```

The final energy comes out at -3.60 eV per atom. For the volume, the calculation gives 21.42 A^3/atom. The calculation puts the formation energy at -0.269 eV per atom.

Entry 5:
## Ca2HgGe3Pd4 (GGA-PBE)

Data for a relaxed structure of Ca2HgGe3Pd4.

Geometry as POSCAR:
```
Ca2HgGe3Pd4
1.0
4.298 0.000 0.000
0.000 4.298 0.000
0.000 0.000 10.868
Ca Hg Ge Pd
2 1 3 4
Cartesian
2.149 0.000 2.666 Ca
0.000 2.149 8.202 Ca
2.149 2.149 5.434 Hg
0.000 0.000 5.434 Ge
2.149 0.000 9.543 Ge
0.000 2.149 1.325 Ge
2.149 2.149 0.000 Pd
0.000 0.000 0.000 Pd
2.149 0.000 7.122 Pd
0.000 2.149 3.746 Pd
```

The final energy comes out at -4.50 eV per atom. For the volume, the calculation gives 20.08 A^3/atom. The calculation puts the formation energy at -0.611 eV per atom.

Entry 6:
## Ca3HgGe2Pd9 (GGA-PBE)

Data for a relaxed structure of Ca3HgGe2Pd9.

Geometry as POSCAR:
```
Ca3HgGe2Pd9
1.0
-7.500 1.260 0.220
3.344 -1.923 -6.558
-1.025 -6.335 1.335
Ca Hg Ge Pd
3 1 2 9
Cartesian
-0.954 -5.080 -3.410 Ca
0.000 0.000 0.000 Ca
-4.228 -1.918 -1.593 Ca
-0.513 -3.168 0.667 Hg
-0.414 -1.749 -4.112 Ge
-4.767 -5.249 -0.892 Ge
-6.210 -3.527 -0.126 Pd
-4.690 -4.401 -3.107 Pd
-2.800 -4.100 -0.226 Pd
-2.381 -2.898 -4.778 Pd
-0.492 -2.597 -1.897 Pd
1.028 -3.471 -4.878 Pd
-3.750 0.630 0.110 Pd
1.672 -0.962 -3.279 Pd
-2.078 -0.331 -3.169 Pd
```

The final energy comes out at -4.46 eV per atom. For the volume, the calculation gives 21.91 A^3/atom. The calculation puts the formation energy at -0.308 eV per atom.

Entry 7:
## Ca2HgGe4Pd3 (GGA-PBE)

Data for a relaxed structure of Ca2HgGe4Pd3.

Geometry as POSCAR:
```
Ca2HgGe4Pd3
1.0
-3.662 -0.962 -2.156
2.314 -0.677 -3.629
1.138 -10.239 2.634
Ca Hg Ge Pd
2 1 4 3
Cartesian
-1.553 -2.983 -0.434 Ca
2.017 -8.075 0.176 Ca
-0.105 -5.939 -1.575 Hg
-0.674 -0.819 -2.893 Ge
0.000 0.000 0.000 Ge
-1.097 -7.088 0.622 Ge
1.561 -3.970 -0.880 Ge
0.569 -5.120 1.317 Pd
-0.835 -9.446 1.229 Pd
1.299 -1.612 -1.487 Pd
```

The final energy comes out at -4.37 eV per atom. For the volume, the calculation gives 20.19 A^3/atom. The calculation puts the formation energy at -0.539 eV per atom.

Entry 8:
## Ca2HgGe4Pt3 (GGA-PBE)

Data for a relaxed structure of Ca2HgGe4Pt3.

Geometry as POSCAR:
```
Ca2HgGe4Pt3
1.0
4.403 0.000 0.000
0.000 4.403 0.000
0.000 0.000 10.408
Ca Hg Ge Pt
2 1 4 3
Cartesian
2.202 0.000 2.557 Ca
0.000 2.202 7.851 Ca
2.202 2.202 5.204 Hg
2.202 2.202 0.000 Ge
0.000 0.000 0.000 Ge
2.202 0.000 6.709 Ge
0.000 2.202 3.699 Ge
0.000 0.000 5.204 Pt
2.202 0.000 9.161 Pt
0.000 2.202 1.248 Pt
```

The final energy comes out at -4.71 eV per atom. For the volume, the calculation gives 20.18 A^3/atom. The calculation puts the formation energy at -0.619 eV per atom.

Entry 9:
## Ca2HgGePt (GGA-PBE)

Data for a relaxed structure of Ca2HgGePt.

Geometry as POSCAR:
```
Ca2HgGePt
1.0
-3.138 -3.618 2.951
0.796 -3.919 -3.958
3.823 -1.488 2.242
Ge Ca Hg Pt
1 2 1 1
Cartesian
1.912 -0.744 1.121 Ge
0.398 -1.959 -1.979 Ca
-1.569 -1.809 1.476 Ca
0.740 -4.512 0.618 Hg
0.000 0.000 0.000 Pt
```

The final energy comes out at -3.57 eV per atom. For the volume, the calculation gives 29.59 A^3/atom. The calculation puts the formation energy at -0.573 eV per atom.

Entry 10:
## Ca2HgGeRh (GGA-PBE)

Data for a relaxed structure of Ca2HgGeRh.

Geometry as POSCAR:
```
Ca2HgGeRh
1.0
5.509 0.000 0.000
0.000 5.509 0.000
0.000 0.000 4.675
Ge Ca Rh Hg
1 2 1 1
Cartesian
0.000 0.000 2.337 Ge
0.000 2.754 0.000 Ca
2.754 0.000 0.000 Ca
0.000 0.000 0.000 Rh
2.754 2.754 2.337 Hg
```

The final energy comes out at -3.71 eV per atom. For the volume, the calculation gives 28.37 A^3/atom. The calculation puts the formation energy at -0.452 eV per atom.

Entry 11:
## CaSmHgGe (GGA-PBE)

Data for a relaxed structure of CaSmHgGe.

Geometry as POSCAR:
```
CaSmHgGe
1.0
-1.710 3.994 -2.961
-2.969 -0.949 -4.234
-5.096 1.294 0.019
Ge Ca Hg Sm
1 1 1 1
Cartesian
0.000 0.000 0.000 Ge
-2.444 1.085 -1.794 Ca
-4.888 2.169 -3.588 Hg
-7.331 3.254 -5.382 Sm
```

The final energy comes out at -3.47 eV per atom. For the volume, the calculation gives 25.70 A^3/atom. The calculation puts the formation energy at -0.559 eV per atom.

Entry 12:
## SrCaHgGe (GGA-PBE)

Data for a relaxed structure of SrCaHgGe.

Geometry as POSCAR:
```
SrCaHgGe
1.0
-3.937 3.100 2.073
-0.924 -0.005 5.343
1.261 4.356 2.973
Sr Ge Ca Hg
1 1 1 1
Cartesian
0.000 0.000 0.000 Sr
-0.900 1.863 2.598 Ge
-1.800 3.726 5.195 Ca
-2.700 5.588 7.793 Hg
```

The final energy comes out at -2.72 eV per atom. For the volume, the calculation gives 28.19 A^3/atom. The calculation puts the formation energy at -0.574 eV per atom.